A plane-wave DFT calculation with PBE+U was carried out for a relaxed structure of Ba4NiBi3O12.

Cell and atoms, written as CIF:
```
data_Ba4NiBi3O12
_chemical_formula_sum 'Ba8 Ni2 Bi6 O24'
_symmetry_space_group_name_H-M 'I m -3 m'
_symmetry_Int_Tables_number 229
_symmetry_space_group_name_Hall '-I 4 2 3'
_cell_length_a 8.6124
_cell_length_b 8.6124
_cell_length_c 8.6124
_cell_angle_alpha 90.00
_cell_angle_beta 90.00
_cell_angle_gamma 90.00
loop_
_atom_site_label
_atom_site_fract_x
_atom_site_fract_y
_atom_site_fract_z
Ba1 0.2500 0.2500 0.2500
Ni1 0.0000 0.0000 0.0000
Bi1 0.0000 0.0000 0.5000
O1 0.0000 0.0000 0.2512
O2 0.0000 0.2500 0.5000
```

## Properties
V = 15.97 A^3/atom
total DFT energy (no corrections) = -5.789 eV per atom
total magnetic moment = 1.8 μB per formula unit